# 1
First-principles (PBE) data for a relaxed structure of Dy2Tl2H, as listed in Alexandria.

D(E_F) = 0.38 states/eV/atom
raw total energy = -38.001 eV per cell

Structure (POSCAR):
```
Dy2Tl2H
1.0
1.858 -6.054 0.000
1.858 6.054 0.000
0.000 0.000 10.415
Dy Tl H
4 4 2
Direct
0.054 0.946 0.500 Dy
0.342 0.658 0.270 Dy
0.658 0.342 0.770 Dy
0.946 0.054 0.000 Dy
0.219 0.781 0.006 Tl
0.401 0.599 0.717 Tl
0.599 0.401 0.217 Tl
0.781 0.219 0.506 Tl
0.105 0.895 0.695 H
0.895 0.105 0.195 H
```

# 2
First-principles (PBE) data for a relaxed structure of Ac2PmRh4Pb3, as listed in Alexandria.

D(E_F) = 0.75 states/eV/atom
energy of formation = -0.494 eV/atom

Structure (POSCAR):
```
Ac2PmRh4Pb3
1.0
4.576 0.000 0.000
0.000 4.576 0.000
0.000 0.000 11.910
Ac Pm Rh Pb
2 1 4 3
Direct
0.000 0.500 0.234 Ac
0.500 0.000 0.766 Ac
0.000 0.000 0.500 Pm
0.000 0.000 0.000 Rh
0.000 0.500 0.648 Rh
0.500 0.000 0.352 Rh
0.500 0.500 0.000 Rh
0.000 0.500 0.876 Pb
0.500 0.000 0.124 Pb
0.500 0.500 0.500 Pb
```

# 3
First-principles (PBE) data for a relaxed structure of InO3, as listed in Alexandria.

E above lowest polymorph = 0.0 kJ/mol of atoms
E_form (uncorrected) = -663 meV per atom

Structure (POSCAR):
```
InO3
1.0
6.102 0.000 0.000
-2.349 5.930 0.000
-2.930 -1.941 5.817
In O
4 12
Direct
0.000 0.000 0.000 In
0.073 0.367 0.702 In
0.380 0.833 0.476 In
0.702 0.486 0.184 In
0.071 0.496 0.431 O
0.226 0.759 0.949 O
0.279 0.340 0.045 O
0.410 0.999 0.818 O
0.437 0.219 0.465 O
0.452 0.823 0.152 O
0.506 0.458 0.795 O
0.639 0.632 0.733 O
0.657 0.112 0.010 O
0.664 0.406 0.514 O
0.811 0.015 0.652 O
0.998 0.826 0.238 O
```

# 4
First-principles (PBE) data for a relaxed structure of ZrTe4Ir, as listed in Alexandria.

D(E_F) = 0.91 states/eV/atom
E_form (uncorrected) = 995 meV per atom

Structure (POSCAR):
```
ZrTe4Ir
1.0
0.000 4.257 4.257
4.257 0.000 4.257
4.257 4.257 0.000
Zr Te Ir
1 4 1
Direct
0.000 0.000 0.000 Zr
0.376 0.376 0.376 Te
0.376 0.376 0.873 Te
0.376 0.873 0.376 Te
0.873 0.376 0.376 Te
0.750 0.750 0.750 Ir
```

# 5
First-principles (PBE) data for a relaxed structure of KNaTl4, as listed in Alexandria.

D(E_F) = 0.60 states/eV/atom
energy of formation = -0.070 eV/atom
E above lowest polymorph = 1.2 kJ/mol of atoms

Structure (POSCAR):
```
KNaTl4
1.0
0.000 4.675 4.675
4.675 0.000 4.675
4.675 4.675 0.000
K Na Tl
1 1 4
Direct
0.000 0.000 0.000 K
0.750 0.750 0.750 Na
0.375 0.375 0.375 Tl
0.375 0.375 0.874 Tl
0.375 0.874 0.375 Tl
0.874 0.375 0.375 Tl
```

# 6
First-principles (PBE) data for a relaxed structure of K2MoP, as listed in Alexandria.

D(E_F) = 0.82 states/eV/atom
energy of formation = 1.045 eV/atom

Structure (POSCAR):
```
K2MoP
1.0
1.502 0.867 11.608
-1.502 0.867 11.608
0.000 -1.734 11.608
K Mo P
2 1 1
Direct
0.242 0.242 0.242 K
0.758 0.758 0.758 K
0.000 0.000 0.000 Mo
0.500 0.500 0.500 P
```

# 7
First-principles (PBE) data for a relaxed structure of Ba2In4Sn3Hg, as listed in Alexandria.

D(E_F) = 0.42 states/eV/atom
energy of formation = -0.348 eV/atom

Structure (POSCAR):
```
Ba2In4Sn3Hg
1.0
5.287 0.000 0.000
0.000 5.287 0.000
0.000 0.000 11.439
Ba In Sn Hg
2 4 3 1
Direct
0.000 0.500 0.243 Ba
0.500 0.000 0.757 Ba
0.000 0.000 0.500 In
0.000 0.500 0.877 In
0.500 0.000 0.123 In
0.500 0.500 0.500 In
0.000 0.000 0.000 Sn
0.000 0.500 0.626 Sn
0.500 0.000 0.374 Sn
0.500 0.500 0.000 Hg
```

# 8
First-principles (PBE) data for a relaxed structure of MnTcMo2, as listed in Alexandria.

D(E_F) = 1.26 states/eV/atom
energy of formation = 0.732 eV/atom
E above lowest polymorph = 64.5 kJ/mol of atoms

Structure (POSCAR):
```
MnTcMo2
1.0
-3.463 3.463 2.635
3.463 -3.463 2.635
3.463 3.463 -2.635
Mn Tc Mo
2 2 4
Direct
0.000 0.000 0.000 Mn
0.750 0.250 0.500 Mn
0.250 0.750 0.500 Tc
0.500 0.500 0.000 Tc
0.125 0.125 0.500 Mo
0.375 0.875 0.000 Mo
0.625 0.625 0.500 Mo
0.875 0.375 0.000 Mo
```

# 9
First-principles (PBE) data for a relaxed structure of SrPaCd4, as listed in Alexandria.

D(E_F) = 1.37 states/eV/atom
energy of formation = 0.063 eV/atom

Structure (POSCAR):
```
SrPaCd4
1.0
0.000 4.269 4.269
4.269 0.000 4.269
4.269 4.269 0.000
Sr Pa Cd
1 1 4
Direct
0.000 0.000 0.000 Sr
0.250 0.250 0.250 Pa
0.127 0.624 0.624 Cd
0.624 0.127 0.624 Cd
0.624 0.624 0.127 Cd
0.624 0.624 0.624 Cd
```

# 10
First-principles (PBE) data for a relaxed structure of GdScFePd, as listed in Alexandria.

D(E_F) = 0.80 states/eV/atom
energy of formation = -0.326 eV/atom

Structure (POSCAR):
```
GdScFePd
1.0
0.000 3.354 3.354
3.354 0.000 3.354
3.354 3.354 0.000
Gd Sc Fe Pd
1 1 1 1
Direct
0.000 0.000 0.000 Gd
0.500 0.500 0.500 Sc
0.750 0.750 0.750 Fe
0.250 0.250 0.250 Pd
```